--- A ---
The following is a DFT calculation (PBE) of an optimized crystal structure of ZrRuN.

Values from the calculation:
DOS(E_F) = 4.6 states/eV per cell

Cell lengths 3.1728, 4.4728, 5.7463 Å; angles 90.00, 93.90, 90.00 degrees
Fractional coordinates of all 6 atoms:
Zr 0.2356 0.2500 0.3393
Zr 0.7644 0.7500 0.6607
Ru 0.2822 0.2500 0.8613
Ru 0.7178 0.7500 0.1387
N 0.2369 0.7500 0.3678
N 0.7631 0.2500 0.6322



--- B ---
The following is a DFT calculation (PBE) of an optimized crystal structure of ZrRuN.

Values from the calculation:
DOS(E_F) = 3.9 states/eV per cell

Cell lengths 4.4679, 3.1070, 6.1569 Å; angles 90.00, 96.63, 90.00 degrees
Fractional coordinates of all 6 atoms:
Zr 0.0000 0.0000 0.0000
Zr 0.4607 0.0000 0.3949
Ru 0.4927 0.5000 0.8234
Ru 0.9597 0.5000 0.5705
N 0.1271 0.5000 0.2764
N 0.5056 0.0000 0.0398



--- C ---
The following is a DFT calculation (PBE) of an optimized crystal structure of ZrRuN.

Values from the calculation:
DOS(E_F) = 3.9 states/eV per cell

Cell lengths 5.1284, 5.1284, 3.1738 Å; angles 90.00, 90.00, 94.75 degrees
Fractional coordinates of all 6 atoms:
Zr 0.2119 0.7881 0.0000
Zr 0.7881 0.2119 0.0000
Ru 0.3068 0.3068 0.5000
Ru 0.6932 0.6932 0.5000
N 0.0000 0.0000 0.5000
N 0.5000 0.5000 0.0000



Q: Which of them is the least stable? A: B.



--- A ---
The following is a DFT calculation (PBE) of an optimized crystal structure of ZrRuN.

Values from the calculation:
DOS(E_F) = 5.7 states/eV per cell

Cell lengths 5.1476, 5.1476, 3.1818 Å; angles 90.00, 90.00, 103.43 degrees
Fractional coordinates of all 6 atoms:
Zr 0.2301 0.7699 0.0000
Zr 0.7699 0.2301 0.0000
Ru 0.2708 0.2708 0.5000
Ru 0.7292 0.7292 0.5000
N 0.0000 0.5000 0.5000
N 0.5000 0.0000 0.5000



--- B ---
The following is a DFT calculation (PBE) of an optimized crystal structure of ZrRuN.

Values from the calculation:
DOS(E_F) = 3.2 states/eV per cell

Cell lengths 5.6418, 5.6418, 5.2386 Å; angles 106.60, 106.60, 31.30 degrees
Fractional coordinates of all 6 atoms:
Zr 0.0965 0.0965 0.3084
Zr 0.9035 0.9035 0.6916
Ru 0.3380 0.3380 0.1545
Ru 0.6620 0.6620 0.8455
N 0.5000 0.5000 0.0000
N 0.5000 0.5000 0.5000



Q: Which of them is the least stable? A: B.



--- A ---
The following is a DFT calculation (PBE) of an optimized crystal structure of ZrRuN.

Values from the calculation:
DOS(E_F) = 6.2 states/eV per cell

Cell lengths 5.9495, 5.9495, 4.4459 Å; angles 111.03, 111.03, 36.98 degrees
Fractional coordinates of all 6 atoms:
Zr 0.1132 0.1132 0.3598
Zr 0.8868 0.8868 0.6402
Ru 0.3432 0.3432 0.1001
Ru 0.6568 0.6568 0.8999
N 0.0923 0.0923 0.8385
N 0.9077 0.9077 0.1615



--- B ---
The following is a DFT calculation (PBE) of an optimized crystal structure of ZrRuN.

Values from the calculation:
DOS(E_F) = 5.1 states/eV per cell

Cell lengths 4.5205, 4.0319, 4.5228 Å; angles 90.00, 90.00, 90.00 degrees
Fractional coordinates of all 6 atoms:
Zr 0.2500 0.0000 0.2480
Zr 0.7500 0.0000 0.7520
Ru 0.2500 0.5000 0.7205
Ru 0.7500 0.5000 0.2795
N 0.2500 0.0000 0.7582
N 0.7500 0.0000 0.2418



--- C ---
The following is a DFT calculation (PBE) of an optimized crystal structure of ZrRuN.

Values from the calculation:
DOS(E_F) = 4.6 states/eV per cell

Cell lengths 5.4488, 5.4488, 5.1529 Å; angles 103.05, 103.05, 33.93 degrees
Fractional coordinates of all 6 atoms:
Zr 0.0000 0.0000 0.0000
Zr 0.2190 0.2190 0.6558
Ru 0.4609 0.4609 0.4722
Ru 0.7658 0.7658 0.1689
N 0.6122 0.6122 0.8342
N 0.8570 0.8570 0.5589



Q: Which of them is the least stable? A: A.



--- A ---
The following is a DFT calculation (PBE) of an optimized crystal structure of ZrRuN2.

Values from the calculation:
DOS(E_F) = 2.8 states/eV per cell

Cell lengths 6.3589, 6.3589, 6.3589 Å; angles 29.98, 29.98, 29.98 degrees
Fractional coordinates of all 4 atoms:
Zr 0.0000 0.0000 0.0000
Ru 0.5000 0.5000 0.5000
N 0.3946 0.3946 0.3946
N 0.6054 0.6054 0.6054



--- B ---
The following is a DFT calculation (PBE) of an optimized crystal structure of ZrRuN2.

Values from the calculation:
DOS(E_F) = 4.6 states/eV per cell

Cell lengths 6.1261, 6.1261, 6.1261 Å; angles 136.34, 136.34, 63.46 degrees
Fractional coordinates of all 8 atoms:
Zr 0.0000 0.0000 0.0000
Zr 0.7500 0.2500 0.5000
Ru 0.2500 0.7500 0.5000
Ru 0.5000 0.5000 0.0000
N 0.1513 0.6250 0.0263
N 0.3750 0.4013 0.5263
N 0.5987 0.1250 0.9737
N 0.8750 0.8487 0.4737



--- C ---
The following is a DFT calculation (PBE) of an optimized crystal structure of ZrRuN2.

Values from the calculation:
DOS(E_F) = 2.4 states/eV per cell

Cell lengths 3.9347, 3.9347, 3.9347 Å; angles 60.00, 60.00, 60.00 degrees
Fractional coordinates of all 4 atoms:
Zr 0.0000 0.0000 0.0000
Ru 0.5000 0.5000 0.5000
N 0.2500 0.2500 0.2500
N 0.7500 0.7500 0.7500



Q: Which of them is the least stable? A: C.